Record 1
Entry from Alexandria via LeMat-Bulk: an optimized crystal structure of Cu2Pt3 (PBE-GGA).

Geometry as CIF:
```
data_Cu2Pt3
_cell_length_a 2.736
_cell_length_b 2.736
_cell_length_c 11.132
_cell_angle_alpha 90.00
_cell_angle_beta 90.00
_cell_angle_gamma 120.00
_space_group_name_H-M_alt 'P 1'
_space_group_IT_number 1
loop_
_space_group_symop_operation_xyz
'x,y,z'
loop_
_atom_site_label
_atom_site_fract_x
_atom_site_fract_y
_atom_site_fract_z
Cu1 0.333 0.667 0.806
Cu2 0.667 0.333 0.194
Pt1 0.667 0.333 0.612
Pt2 0.333 0.667 0.388
Pt3 0.000 0.000 0.000
```

Results
- calculated density (g/cm³) = 16.4
- E_form (eV per formula unit) = -0.609
- excess energy over the best structure of this formula in the dataset (kJ/mol of formula units) = 22



Record 2
Entry from Alexandria via LeMat-Bulk: an optimized crystal structure of ZrGeAs3 (PBE-GGA).

Geometry as CIF:
```
data_ZrGeAs3
_cell_length_a 4.848
_cell_length_b 4.848
_cell_length_c 4.848
_cell_angle_alpha 90.00
_cell_angle_beta 90.00
_cell_angle_gamma 90.00
_space_group_name_H-M_alt 'P 1'
_space_group_IT_number 1
loop_
_space_group_symop_operation_xyz
'x,y,z'
loop_
_atom_site_label
_atom_site_fract_x
_atom_site_fract_y
_atom_site_fract_z
As1 0.000 0.000 0.500
As2 0.000 0.500 0.000
As3 0.500 0.000 0.000
Zr1 0.500 0.500 0.500
Ge1 0.000 0.000 0.000
```

Results
- calculated density (g/cm³) = 5.7
- E_form (eV per formula unit) = 2.825
- excess energy over the best structure of this formula in the dataset (kJ/mol of formula units) = 82